[1]
# ZnWBr2 PBE relaxed
# ΔE to the lowest computed polymorph (meV per atom): 406.8
# E_form (uncorrected) (eV per atom): 0.555
data_ZnWBr2
_cell_length_a 3.103
_cell_length_b 4.851
_cell_length_c 12.666
_cell_angle_alpha 90.00
_cell_angle_beta 90.00
_cell_angle_gamma 90.00
_space_group_name_H-M_alt 'I m m 2'
_space_group_IT_number 44
loop_
_space_group_symop_operation_xyz
'x,y,z'
'-x,-y,z'
'-x,y,z'
'x,-y,z'
'x+1/2,y+1/2,z+1/2'
'-x+1/2,-y+1/2,z+1/2'
'-x+1/2,y+1/2,z+1/2'
'x+1/2,-y+1/2,z+1/2'
loop_
_atom_site_label
_atom_site_type_symbol
_atom_site_fract_x
_atom_site_fract_y
_atom_site_fract_z
Zn1 Zn 0.000 0.000 0.000
W1 W 0.000 0.500 0.329
Br1 Br 0.000 0.000 0.664
Br2 Br 0.000 0.500 0.851

***

[2]
# PaB2IO8 PBE relaxed
# E_form (uncorrected) (eV per atom): -1.912
data_PaB2IO8
_cell_length_a 9.217
_cell_length_b 5.356
_cell_length_c 5.412
_cell_angle_alpha 90.00
_cell_angle_beta 109.04
_cell_angle_gamma 90.00
_space_group_name_H-M_alt 'C 1 2/m 1'
_space_group_IT_number 12
loop_
_space_group_symop_operation_xyz
'x,y,z'
'-x,-y,-z'
'-x,y,-z'
'x,-y,z'
'x+1/2,y+1/2,z'
'-x+1/2,-y+1/2,-z'
'-x+1/2,y+1/2,-z'
'x+1/2,-y+1/2,z'
loop_
_atom_site_label
_atom_site_type_symbol
_atom_site_fract_x
_atom_site_fract_y
_atom_site_fract_z
Pa1 Pa 0.000 0.000 0.000
B1 B 0.203 0.000 0.654
I1 I 0.000 0.500 0.500
O1 O 0.127 0.500 0.234
O2 O 0.134 0.218 0.759
O3 O 0.152 0.000 0.372

***

no.,DOS at the Fermi energy (states/eV/atom),E_tot (eV/cell)
1,0.59,-30.7
2,0.00,-174.0